[1]
Here is a crystal of KTcSe2 relaxed with PBEsol from Alexandria. Energies are from meta-GGA SCAN.

Computed properties:
- calculated total energy (eV/atom) = -21.169
- raw formation energy (eV/atom) = -0.2822

```
KTcSe2
1.0
3.164 0.000 0.000
0.000 3.164 0.000
0.000 0.000 7.725
K Tc Se
1 1 2
Cartesian
0.000 0.000 0.000
0.000 0.000 3.863
1.582 1.582 2.396
1.582 1.582 5.330
```

***

[2]
Here is a crystal of Zr2Tl relaxed with PBEsol from Alexandria. Energies are from meta-GGA SCAN.

Computed properties:
- energy of formation from the pure elements (eV per atom) = 0.18
- calculated total energy (eV/atom) = -44.402

```
Zr2Tl
1.0
4.362 0.000 0.000
0.000 4.362 0.000
0.000 0.000 3.993
Zr Tl
2 1
Cartesian
0.000 2.181 0.000
2.181 0.000 0.000
0.000 0.000 1.996
```

***

[3]
Here is a crystal of ReTeBr2 relaxed with PBEsol from Alexandria. Energies are from meta-GGA SCAN.

Computed properties:
- calculated total energy (eV/atom) = -35.968
- raw formation energy (eV/atom) = 0.8487

```
ReTeBr2
1.0
3.096 0.000 0.000
0.000 3.096 0.000
0.000 0.000 9.401
Re Te Br
1 1 2
Cartesian
0.000 0.000 0.000
0.000 0.000 4.700
1.548 1.548 1.562
1.548 1.548 7.839
```

***

[4]
Here is a crystal of BaSb2Cl relaxed with PBEsol from Alexandria. Energies are from meta-GGA SCAN.

Computed properties:
- calculated total energy (eV/atom) = -30.517
- raw formation energy (eV/atom) = -0.0043

```
BaSb2Cl
1.0
1.772 1.023 10.423
-1.772 1.023 10.423
0.000 -2.046 10.423
Ba Sb Cl
1 2 1
Cartesian
0.000 0.000 0.000
0.000 0.000 7.502
0.000 0.000 23.768
0.000 0.000 15.635
```

***

[5]
Here is a crystal of Ba2CoCu relaxed with PBEsol from Alexandria. Energies are from meta-GGA SCAN.

Computed properties:
- energy of formation from the pure elements (eV per atom) = 0.53
- calculated total energy (eV/atom) = -27.368

```
Ba2CoCu
1.0
2.155 1.244 7.766
-2.155 1.244 7.766
0.000 -2.488 7.766
Ba Co Cu
2 1 1
Cartesian
0.000 0.000 5.700
0.000 0.000 17.598
0.000 0.000 11.649
0.000 0.000 0.000
```

***

[6]
Here is a crystal of KMg2As relaxed with PBEsol from Alexandria. Energies are from meta-GGA SCAN.

Computed properties:
- energy of formation from the pure elements (eV per atom) = -0.02
- calculated total energy (eV/atom) = -9.633

```
KMg2As
1.0
3.564 0.000 0.000
0.000 3.564 0.000
0.000 0.000 8.748
K Mg As
1 2 1
Cartesian
0.000 0.000 0.000
1.782 1.782 2.927
1.782 1.782 5.821
0.000 0.000 4.374
```

***

[7]
Here is a crystal of POsSe4 relaxed with PBEsol from Alexandria. Energies are from meta-GGA SCAN.

Computed properties:
- calculated total energy (eV/atom) = -25.340
- raw formation energy (eV/atom) = 1.7592

```
POsSe4
1.0
0.000 3.806 3.806
3.806 0.000 3.806
3.806 3.806 0.000
P Os Se
1 1 4
Cartesian
0.000 0.000 0.000
5.709 5.709 5.709
2.863 2.863 2.863
4.749 4.749 2.863
4.749 2.863 4.749
2.863 4.749 4.749
```

***

[8]
Here is a crystal of AlCdBr2 relaxed with PBEsol from Alexandria. Energies are from meta-GGA SCAN.

Computed properties:
- calculated total energy (eV/atom) = -19.613
- raw formation energy (eV/atom) = -0.3419

```
AlCdBr2
1.0
-1.777 3.011 4.666
1.777 -3.011 4.666
1.777 3.011 -4.666
Al Cd Br
1 1 2
Cartesian
0.000 0.000 0.000
1.777 0.000 2.120
0.000 0.000 4.359
0.000 3.011 2.730
```

***

> What is the formula in the first record?

KTcSe2